The following is a DFT calculation (GGA-PBE) of an optimized crystal structure of Pm8Hg2Au.

Cell: 5.2748 7.0352 9.7572 Å, 104.60 105.68 90.00°
Closest atoms and distances in Å follow each position.
Sites, in units of the cell vectors:
Hg (0.1809, 0.7393, 0.3618)  5 Pm 3.05-3.21
Hg (0.8191, 0.2607, 0.6382)  5 Pm 3.05-3.21
Pm (0.6609, 0.9813, 0.3219)  1 Au 3.06, 3 Hg 3.10-3.21
Pm (0.7971, 0.6751, 0.5942)  1 Hg 3.05
Pm (0.0186, 0.7716, 0.0371)  1 Hg 3.12, 2 Au 3.15, 3 Pm 3.46-3.47
Pm (0.5906, 0.4586, 0.1812)  1 Au 3.23, 2 Hg 3.46, 4 Pm 3.47-3.60
Pm (0.4094, 0.5414, 0.8188)  1 Au 3.23, 2 Hg 3.46, 4 Pm 3.47-3.60
Pm (0.9814, 0.2284, 0.9629)  1 Hg 3.12, 2 Au 3.15, 3 Pm 3.46-3.47
Pm (0.2029, 0.3249, 0.4058)  1 Hg 3.05
Pm (0.3391, 0.0187, 0.6781)  1 Au 3.06, 3 Hg 3.10-3.21
Au (0.5000, 0.0000, 0.0000)  8 Pm 3.06-3.23

E: -4.091 eV/atom
crystal system: monoclinic



The following is a DFT calculation (GGA-PBE) of an optimized crystal structure of Cs2Ge2Ir.

Cell: 6.6944 6.6944 6.2546 Å, 90.00 90.00 90.00°
Closest atoms and distances in Å follow each position.
Sites, in units of the cell vectors:
Ir (0.5000, 0.5000, 0.0000)  4 Ge 2.56
Ir (0.0000, 0.0000, 0.0000)  4 Ge 2.56
Ge (0.6479, 0.1479, 0.0000)  2 Ir 2.56, 1 Ge 2.80
Ge (0.3521, 0.8521, 0.0000)  2 Ir 2.56, 1 Ge 2.80
Ge (0.8521, 0.6479, 0.0000)  2 Ir 2.56, 1 Ge 2.80
Ge (0.1479, 0.3521, 0.0000)  2 Ir 2.56, 1 Ge 2.80
Cs (0.3159, 0.1841, 0.5000)  5 Cs 3.46-3.49, 6 Ge 3.51-3.84
Cs (0.1841, 0.6841, 0.5000)  5 Cs 3.46-3.49, 6 Ge 3.51-3.84
Cs (0.6841, 0.8159, 0.5000)  5 Cs 3.46-3.49, 6 Ge 3.51-3.84
Cs (0.8159, 0.3159, 0.5000)  5 Cs 3.46-3.49, 6 Ge 3.51-3.84

distance to the lowest polymorph of the same formula: 0.0000 eV/atom
E: -3.808 eV/atom
crystal system: tetragonal



The following is a DFT calculation (GGA-PBE) of an optimized crystal structure of Mn2Tc2Rh.

Cell: 5.3757 5.3757 5.3757 Å, 136.62 136.62 63.03°
Closest atoms and distances in Å follow each position.
Sites, in units of the cell vectors:
Mn (0.3869, 0.3869, 0.0000)  1 Mn 2.07
Mn (0.6131, 0.6131, 0.0000)  1 Mn 2.07
Rh (0.0000, 0.0000, 0.0000)  8 Mn 2.99, 8 Tc 3.03
Tc (0.2500, 0.7500, 0.5000)  4 Mn 2.35
Tc (0.7500, 0.2500, 0.5000)  4 Mn 2.35

distance to the lowest polymorph of the same formula: 0.3419 eV/atom
E: -8.856 eV/atom
crystal system: tetragonal



The following is a DFT calculation (GGA-PBE) of an optimized crystal structure of Ac2Y8Er3.

Cell: 6.2435 8.8595 8.8595 Å, 83.33 72.30 72.30°
Closest atoms and distances in Å follow each position.
Sites, in units of the cell vectors:
Er (0.0000, 0.2508, 0.7492)  8 Y 3.50-3.85
Er (0.0000, 0.7492, 0.2508)  8 Y 3.50-3.85
Er (0.5000, 0.0000, 0.0000)  2 Y 3.16
Y (0.9553, 0.1484, 0.1484)  3 Er 3.16-3.50, 1 Y 3.40, 1 Ac 3.47
Y (0.7739, 0.4283, 0.4283)  4 Y 3.16-3.40, 2 Ac 3.31-3.36
Y (0.6695, 0.0872, 0.5859)  2 Y 3.34-3.70, 2 Ac 3.49-3.68, 2 Er 3.55-3.56
Y (0.3305, 0.9128, 0.4141)  2 Y 3.34-3.70, 2 Ac 3.49-3.68, 2 Er 3.55-3.56
Y (0.2261, 0.5717, 0.5717)  4 Y 3.16-3.40, 2 Ac 3.31-3.36
Y (0.6695, 0.5859, 0.0872)  2 Y 3.34-3.70, 2 Ac 3.49-3.68, 2 Er 3.55-3.56
Y (0.0447, 0.8516, 0.8516)  3 Er 3.16-3.50, 1 Y 3.40, 1 Ac 3.47
Y (0.3305, 0.4141, 0.9128)  2 Y 3.34-3.70, 2 Ac 3.49-3.68, 2 Er 3.55-3.56
Ac (0.6468, 0.7003, 0.7003)  8 Y 3.31-3.68, 1 Er 3.69
Ac (0.3532, 0.2997, 0.2997)  8 Y 3.31-3.68, 1 Er 3.69

E: -5.453 eV/atom
crystal system: monoclinic



The following is a DFT calculation (GGA-PBE) of an optimized crystal structure of NaThGaI6.

Cell: 7.6565 7.6565 14.1498 Å, 90.00 90.00 90.00°
Closest atoms and distances in Å follow each position.
Sites, in units of the cell vectors:
I (0.7149, 0.7149, 0.3360)  1 Th 3.09, 1 Na 3.28, 1 Ga 3.36
I (0.8055, 0.1945, 0.1736)  1 Th 3.08, 1 Na 3.24, 1 Ga 3.31
I (0.3056, 0.3056, 0.9920)  1 Th 3.08, 1 Ga 3.22, 1 Na 3.31
I (0.6944, 0.6944, 0.9920)  1 Th 3.08, 1 Ga 3.22, 1 Na 3.31
I (0.1944, 0.8056, 0.4920)  1 Th 3.08, 1 Ga 3.22, 1 Na 3.31
I (0.2149, 0.7851, 0.8360)  1 Th 3.09, 1 Na 3.28, 1 Ga 3.36
I (0.2851, 0.2851, 0.3360)  1 Th 3.09, 1 Na 3.28, 1 Ga 3.36
I (0.3055, 0.3055, 0.6736)  1 Th 3.08, 1 Na 3.24, 1 Ga 3.31
I (0.8056, 0.1944, 0.4920)  1 Th 3.08, 1 Ga 3.22, 1 Na 3.31
I (0.6945, 0.6945, 0.6736)  1 Th 3.08, 1 Na 3.24, 1 Ga 3.31
I (0.7851, 0.2149, 0.8360)  1 Th 3.09, 1 Na 3.28, 1 Ga 3.36
I (0.1945, 0.8055, 0.1736)  1 Th 3.08, 1 Na 3.24, 1 Ga 3.31
Ga (0.0000, 0.0000, 0.6646)  6 I 3.22-3.36
Ga (0.5000, 0.5000, 0.1646)  6 I 3.22-3.36
Na (0.5000, 0.5000, 0.4995)  6 I 3.24-3.31
Na (0.0000, 0.0000, 0.9995)  6 I 3.24-3.31
Th (0.5000, 0.5000, 0.8328)  6 I 3.08-3.09
Th (0.0000, 0.0000, 0.3328)  6 I 3.08-3.09

E: -3.369 eV/atom
crystal system: tetragonal
energy relative to the elements, uncorrected: -1.0281 eV per atom



The following is a DFT calculation (GGA-PBE) of an optimized crystal structure of PrDyHg3.

Cell: 6.4196 7.3817 7.3817 Å, 120.00 90.00 90.00°
Closest atoms and distances in Å follow each position.
Sites, in units of the cell vectors:
Hg (0.7500, 0.5915, 0.7956)  2 Hg 2.86, 2 Pr 3.07
Hg (0.7500, 0.2044, 0.4085)  2 Hg 2.86, 2 Pr 3.07
Hg (0.2500, 0.4085, 0.2044)  2 Hg 2.86, 2 Pr 3.07
Hg (0.2500, 0.7956, 0.5915)  2 Hg 2.86, 2 Pr 3.07
Hg (0.2500, 0.7957, 0.2043)  2 Hg 2.86, 2 Pr 3.07
Hg (0.7500, 0.2043, 0.7957)  2 Hg 2.86, 2 Pr 3.07
Pr (0.0000, 0.0000, 0.0000)  6 Hg 3.07, 2 Pr 3.21
Pr (0.5000, 0.0000, 0.0000)  6 Hg 3.07, 2 Pr 3.21
Dy (0.7500, 0.6665, 0.3335)  12 Hg 3.61-3.73
Dy (0.2500, 0.3335, 0.6665)  12 Hg 3.61-3.73

distance to the lowest polymorph of the same formula: 0.3596 eV/atom
E: -2.129 eV/atom
crystal system: hexagonal



V / Å³ per atom: 30.59, 28.03, 14.47, 34.20, 46.08, 30.29